First-principles (GGA-PBEsol) data for a relaxed structure of MgSc2P, as listed in the Alexandria database.

```
MgSc2P
1.0
4.6972 0.0000 0.0000
2.3486 4.0679 0.0000
2.3486 1.3560 3.8352
Mg P Sc
1 1 2
Cartesian
0.0000 0.0000 0.0000
4.6972 2.7119 1.9176
2.3486 1.3560 0.9588
7.0458 4.0679 2.8764
```

Computed properties:
ΔE_f = -1.39 eV per formula unit
N(E_F) = 4.21 states/eV/f.u.
space-group type = Fm-3m (225)
calculated volume = 73 Å³/cell
energy above the lowest structure with this stoichiometry = 109.3 kJ/mol of formula units
total magnetization = 0.001 μB per formula unit

First-principles (GGA-PBEsol) data for a relaxed structure of AlFe2As, as listed in the Alexandria database.

```
AlFe2As
1.0
2.8294 0.0000 0.0000
-1.4147 3.8557 -0.0647
0.0000 -0.8232 4.5445
As Fe Al
1 2 1
Cartesian
0.0000 -0.4116 2.2722
1.4147 1.2905 3.3300
0.0000 1.7420 1.1497
1.4147 0.0000 0.0000
```

Computed properties:
ΔE_f = -0.12 eV per formula unit
N(E_F) = 5.07 states/eV/f.u.
space-group type = C2/m (12)
calculated volume = 49 Å³/cell
energy above the lowest structure with this stoichiometry = 0.0 kJ/mol of formula units
total magnetization = 2.522 μB per formula unit

First-principles (GGA-PBEsol) data for a relaxed structure of HoCuGe, as listed in the Alexandria database.

```
HoCuGe
1.0
-2.5682 -0.2869 -2.5567
-2.8748 -0.5138 2.9453
0.9231 3.8100 -1.3548
Ge Ho Cu
1 1 1
Cartesian
-1.6270 2.2252 -1.1998
0.0000 0.0000 0.0000
-2.8929 0.7840 0.2336
```

Computed properties:
ΔE_f = -2.05 eV per formula unit
N(E_F) = 1.61 states/eV/f.u.
space-group type = P-6m2 (187)
calculated volume = 54 Å³/cell
total magnetization = 0.000 μB per formula unit

First-principles (GGA-PBEsol) data for a relaxed structure of Sc2BeNi, as listed in the Alexandria database.

```
Sc2BeNi
1.0
-0.6554 -2.8824 -1.0470
2.0459 -1.2085 2.0463
-4.5309 -0.5066 4.2308
Sc Ni Be
2 1 1
Cartesian
-3.3927 -0.3794 3.1680
-1.1382 -0.1273 1.0628
-1.5701 -2.2987 2.6151
0.6953 -2.0454 0.4997
```

Computed properties:
ΔE_f = -1.11 eV per formula unit
N(E_F) = 2.54 states/eV/f.u.
space-group type = P4/mmm (123)
calculated volume = 61 Å³/cell
total magnetization = 0.000 μB per formula unit

First-principles (GGA-PBEsol) data for a relaxed structure of MgMn2Cl, as listed in the Alexandria database.

```
MgMn2Cl
1.0
4.5163 0.0000 0.0000
2.2581 3.9112 0.0000
2.2581 1.3037 3.6875
Cl Mg Mn
1 1 2
Cartesian
0.0000 0.0000 0.0000
4.5163 2.6075 1.8438
2.2581 1.3037 0.9219
6.7744 3.9112 2.7656
```

Computed properties:
energy relative to the elements, uncorrected = 0.704 eV per atom
N(E_F) = 1.93 states/eV/f.u.
space-group type = Fm-3m (225)
calculated volume = 65 Å³/cell
energy above the lowest structure with this stoichiometry = 255.4 kJ/mol of formula units
total magnetization = 6.965 μB per formula unit

First-principles (GGA-PBEsol) data for a relaxed structure of SiTePb, as listed in the Alexandria database.

```
SiTePb
1.0
3.6712 0.0000 0.0000
-1.8356 3.1793 0.0000
0.0000 0.0000 6.7663
Pb Si Te
1 1 1
Cartesian
0.0000 0.0000 6.5178
1.8356 1.0598 4.3153
0.0000 2.1195 2.6995
```

Computed properties:
energy relative to the elements, uncorrected = 0.173 eV per atom
N(E_F) = 1.38 states/eV/f.u.
space-group type = P3m1 (156)
calculated volume = 79 Å³/cell
energy above the lowest structure with this stoichiometry = 0.0 kJ/mol of formula units
total magnetization = 0.000 μB per formula unit

First-principles (GGA-PBEsol) data for a relaxed structure of LiPt3O4, as listed in the Alexandria database.

```
LiPt3O4
1.0
5.6500 0.0000 0.0000
0.0000 5.6500 0.0000
0.0000 0.0000 5.6500
Li Pt O
2 6 8
Cartesian
0.0000 0.0000 0.0000
2.8250 2.8250 2.8250
1.4125 0.0000 2.8250
4.2375 0.0000 2.8250
2.8250 1.4125 0.0000
2.8250 4.2375 0.0000
0.0000 2.8250 1.4125
0.0000 2.8250 4.2375
1.4125 1.4125 1.4125
4.2375 4.2375 4.2375
4.2375 4.2375 1.4125
4.2375 1.4125 4.2375
1.4125 1.4125 4.2375
1.4125 4.2375 1.4125
1.4125 4.2375 4.2375
4.2375 1.4125 1.4125
```

Computed properties:
energy relative to the elements, uncorrected = -0.784 eV per atom
N(E_F) = 0.97 states/eV/f.u.
space-group type = Pm-3n (223)
calculated volume = 180 Å³/cell
total magnetization = 0.000 μB per formula unit

First-principles (GGA-PBEsol) data for a relaxed structure of Y2TcRh, as listed in the Alexandria database.

```
Y2TcRh
1.0
-0.2991 2.0653 3.3847
-3.9377 0.2431 -0.4962
1.5434 -5.3480 1.0639
Rh Tc Y
1 1 2
Cartesian
-2.1184 1.1542 1.4442
-2.2564 -1.9754 1.0060
0.0000 0.0000 0.0000
-0.4370 -1.0643 2.9464
```

Computed properties:
ΔE_f = -0.16 eV per formula unit
N(E_F) = 4.03 states/eV/f.u.
space-group type = I-4m2 (119)
calculated volume = 78 Å³/cell
total magnetization = 0.001 μB per formula unit

First-principles (GGA-PBEsol) data for a relaxed structure of TaGePd3, as listed in the Alexandria database.

```
TaGePd3
1.0
-1.7517 2.4837 -3.6769
-3.7322 -2.9629 -0.2233
-2.4000 2.7946 3.0311
Ge Pd Ta
1 3 1
Cartesian
-3.9419 1.1578 -0.4346
-1.8661 -1.4814 -0.1117
-1.2000 1.3973 1.5156
-0.8759 1.2419 -1.8385
0.0000 0.0000 0.0000
```

Computed properties:
ΔE_f = 5.04 eV per formula unit
N(E_F) = 3.64 states/eV/f.u.
space-group type = Pm-3m (221)
calculated volume = 109 Å³/cell
total magnetization = 0.000 μB per formula unit

First-principles (GGA-PBEsol) data for a relaxed structure of FeCoAuSe2, as listed in the Alexandria database.

```
FeCoAuSe2
1.0
4.4770 0.0000 0.0000
0.0000 4.4770 0.0000
0.0000 0.0000 4.8028
Co Au Fe Se
1 1 1 2
Cartesian
2.2385 2.2385 2.4014
0.0000 0.0000 2.4014
0.0000 0.0000 0.0000
0.0000 2.2385 0.0000
2.2385 0.0000 0.0000
```

Computed properties:
energy relative to the elements, uncorrected = 0.867 eV per atom
N(E_F) = 7.86 states/eV/f.u.
space-group type = P4/mmm (123)
calculated volume = 96 Å³/cell
total magnetization = 4.325 μB per formula unit

First-principles (GGA-PBEsol) data for a relaxed structure of MnSb2Pb, as listed in the Alexandria database.

```
MnSb2Pb
1.0
3.9787 0.0000 0.0000
0.0000 4.9655 0.0000
0.0000 0.0000 4.9655
Mn Pb Sb
1 1 2
Cartesian
1.9894 2.4827 2.4827
1.9894 0.0000 0.0000
0.0000 0.0000 2.4827
0.0000 2.4827 0.0000
```

Computed properties:
energy relative to the elements, uncorrected = 0.416 eV per atom
N(E_F) = 2.54 states/eV/f.u.
space-group type = P4/mmm (123)
calculated volume = 98 Å³/cell
total magnetization = 4.117 μB per formula unit

First-principles (GGA-PBEsol) data for a relaxed structure of Zn2CdAu2, as listed in the Alexandria database.

```
Zn2CdAu2
1.0
-1.4022 0.4471 -3.3195
-2.4560 -2.5841 0.6894
-2.1925 5.6137 3.6683
Zn Au Cd
2 2 1
Cartesian
-3.2888 0.9806 1.5213
-2.7619 2.4962 -0.4831
-3.2579 3.5926 1.8601
-2.7929 -0.1159 -0.8219
0.0000 0.0000 0.0000
```

Computed properties:
ΔE_f = -0.79 eV per formula unit
N(E_F) = 1.44 states/eV/f.u.
space-group type = I4/mmm (139)
calculated volume = 87 Å³/cell
energy above the lowest structure with this stoichiometry = 10.5 kJ/mol of formula units
total magnetization = 0.000 μB per formula unit

First-principles (GGA-PBEsol) data for a relaxed structure of Mg2BeCr, as listed in the Alexandria database.

```
Mg2BeCr
1.0
4.4586 0.0000 0.0000
-2.2293 3.8486 -0.1475
0.0000 -2.4396 3.7319
Cr Mg Be
1 2 1
Cartesian
0.0000 0.0945 2.7252
0.0000 0.0000 0.0000
2.2293 1.3144 0.8592
2.2293 -1.2198 1.8660
```

Computed properties:
ΔE_f = 1.87 eV per formula unit
N(E_F) = 1.64 states/eV/f.u.
space-group type = I-4m2 (119)
calculated volume = 62 Å³/cell
total magnetization = 3.447 μB per formula unit

First-principles (GGA-PBEsol) data for a relaxed structure of K3Ag, as listed in the Alexandria database.

```
K3Ag
1.0
4.1911 0.0278 0.0000
-0.0240 4.1911 0.0000
0.0000 0.0000 10.9682
K Ag
3 1
Cartesian
2.0835 2.1095 9.0978
0.0000 0.0000 5.4841
2.0835 2.1095 1.8704
0.0000 0.0000 0.0000
```

Computed properties:
ΔE_f = 0.44 eV per formula unit
N(E_F) = 1.90 states/eV/f.u.
space-group type = P4/mmm (123)
calculated volume = 193 Å³/cell
energy above the lowest structure with this stoichiometry = 4.0 kJ/mol of formula units
total magnetization = 0.000 μB per formula unit

First-principles (GGA-PBEsol) data for a relaxed structure of AsPb2W, as listed in the Alexandria database.

```
AsPb2W
1.0
3.9535 0.0000 -0.1258
0.0000 4.9740 0.0000
-0.3173 0.0000 4.9348
Pb As W
2 1 1
Cartesian
0.6005 0.0000 3.7332
3.0357 0.0000 1.0759
1.8181 2.4870 2.4045
1.9767 2.4870 -0.0629
```

Computed properties:
ΔE_f = 3.32 eV per formula unit
N(E_F) = 2.75 states/eV/f.u.
space-group type = P2/m (10)
calculated volume = 97 Å³/cell
total magnetization = 0.000 μB per formula unit

First-principles (GGA-PBEsol) data for a relaxed structure of SbP2BrCl, as listed in the Alexandria database.

```
SbP2BrCl
1.0
-3.9316 2.3603 -2.1357
-2.4834 -4.4948 -0.3959
-2.0824 0.7408 4.6521
Sb P Br Cl
1 2 1 1
Cartesian
0.0000 0.0000 0.0000
-1.0412 0.3704 2.3261
-1.2417 -2.2474 -0.1979
-4.2487 -0.6968 1.0602
-1.9658 1.1802 -1.0679
```

Computed properties:
energy relative to the elements, uncorrected = 0.764 eV per atom
N(E_F) = 4.72 states/eV/f.u.
space-group type = P4/mmm (123)
calculated volume = 134 Å³/cell
total magnetization = 1.959 μB per formula unit

First-principles (GGA-PBEsol) data for a relaxed structure of Rb3HSe2O8, as listed in the Alexandria database.

```
Rb3HSe2O8
1.0
6.1152 0.0000 0.0000
-3.0576 7.7251 -0.0231
0.0000 -2.3582 10.1430
Rb H Se O
6 2 4 16
Cartesian
4.4542 2.6060 1.5282
1.3966 3.9400 3.5202
-1.3966 2.7610 8.5917
1.6610 1.4269 6.5997
4.6249 -1.7686 7.6073
1.4903 -0.5895 2.5358
0.0000 -1.1791 5.0715
0.0000 0.0000 0.0000
1.3703 -0.4631 9.7630
-1.6872 4.6510 5.4284
1.6872 5.8301 0.3569
4.7448 0.7160 4.6914
2.7765 -0.1125 8.9795
-0.2811 4.3004 6.2119
0.2811 5.4795 1.1404
3.3387 1.0666 3.9080
1.4789 2.1166 1.2590
-1.5787 4.4295 3.7894
1.5787 3.2504 8.8609
4.6363 0.9375 6.3305
-0.0631 1.5044 4.0492
2.9945 5.0417 0.9992
3.1207 3.8626 6.0707
0.0631 0.3253 9.1207
5.0705 -0.9661 4.4769
2.0129 7.5121 0.5715
-2.0129 6.3331 5.6430
1.0447 -2.1452 9.5484
```

Computed properties:
N(E_F) = 0.00 states/eV/f.u.
energy = -0.388 Ry/atom
space-group type = C2/c (15)
calculated volume = 479 Å³/cell
total magnetization = 0.001 μB per formula unit

First-principles (GGA-PBEsol) data for a relaxed structure of KRbMg3, as listed in the Alexandria database.

```
KRbMg3
1.0
6.4075 0.0000 0.0000
0.0000 6.4075 0.0000
0.0000 0.0000 6.4075
K Mg Rb
1 3 1
Cartesian
0.0000 0.0000 0.0000
0.0000 3.2038 0.0000
0.0000 0.0000 3.2038
3.2038 0.0000 0.0000
3.2038 3.2038 3.2038
```

Computed properties:
ΔE_f = 3.34 eV per formula unit
N(E_F) = 3.91 states/eV/f.u.
space-group type = Pm-3m (221)
calculated volume = 263 Å³/cell
total magnetization = 0.001 μB per formula unit

First-principles (GGA-PBEsol) data for a relaxed structure of K5Se3, as listed in the Alexandria database.

```
K5Se3
1.0
5.9977 0.0000 0.0000
2.9988 9.0350 0.0000
2.9988 0.0000 9.0350
K Se
10 6
Cartesian
2.9988 1.1546 6.2830
2.9988 1.1954 2.8557
5.9977 2.7520 1.1546
5.9977 2.8557 7.8396
4.4983 4.5175 4.5175
7.4971 4.5175 4.5175
5.9977 6.1793 1.1954
5.9977 6.2830 7.8804
8.9965 7.8396 6.1793
8.9965 7.8804 2.7520
5.9977 1.7111 4.4984
8.9965 4.4984 7.3239
2.9988 4.5366 1.7111
5.9977 7.3239 4.5366
1.7838 0.0000 0.0000
4.2139 0.0000 0.0000
```

Computed properties:
energy relative to the elements, uncorrected = -1.031 eV per atom
space-group type = I4/m (87)
calculated volume = 490 Å³/cell
total magnetization = 0.000 μB per formula unit

First-principles (GGA-PBEsol) data for a relaxed structure of YMg5, as listed in the Alexandria database.

```
YMg5
1.0
5.9038 0.0000 0.0000
2.9519 5.1129 0.0000
2.9519 1.7043 4.8205
Y Mg
1 5
Cartesian
0.0000 0.0000 0.0000
4.4224 2.5533 1.8054
8.8558 5.1129 3.6154
7.3853 2.5533 1.8054
5.9038 5.1192 1.8054
5.9038 3.4086 4.2246
```

Computed properties:
ΔE_f = 0.01 eV per formula unit
N(E_F) = 3.75 states/eV/f.u.
space-group type = F-43m (216)
calculated volume = 146 Å³/cell
total magnetization = 0.000 μB per formula unit

First-principles (GGA-PBEsol) data for a relaxed structure of TlB3Mo, as listed in the Alexandria database.

```
TlB3Mo
1.0
-2.8824 1.2479 2.8862
2.5711 -1.3187 3.1379
1.8102 3.8600 0.1389
Tl B Mo
1 3 1
Cartesian
0.7495 1.8946 3.0815
1.2856 -0.6593 1.5689
0.9051 1.9300 0.0694
-1.4412 0.6240 1.4431
0.0000 0.0000 0.0000
```

Computed properties:
ΔE_f = 6.45 eV per formula unit
N(E_F) = 1.86 states/eV/f.u.
space-group type = Pm-3m (221)
calculated volume = 78 Å³/cell
total magnetization = 0.001 μB per formula unit

First-principles (GGA-PBEsol) data for a relaxed structure of Ta2Se8I, as listed in the Alexandria database.

```
Ta2Se8I
1.0
-7.3150 -5.6072 0.1228
3.9191 1.9590 -8.1098
7.9432 -3.0353 3.5578
Ta Se I
4 16 2
Cartesian
3.2797 -4.5903 0.7023
1.2676 -2.0932 -5.1315
0.3141 -4.3213 1.8403
-1.6980 -1.8241 -3.9935
6.4804 -1.2873 -5.3083
1.1492 -5.6759 -0.3037
-3.2691 -3.7380 -2.9948
7.4838 -3.3029 -2.2168
0.1458 -3.6603 -3.3952
-1.9946 -4.5496 0.5185
4.0947 -4.3703 -1.8590
3.1010 -0.1410 -5.4485
-1.4076 -6.2836 2.1144
-0.8414 -3.7033 -5.6136
8.2425 -3.2392 0.0893
-2.4012 -2.0543 -1.4751
1.2069 -3.2493 -0.3832
6.1942 -3.6931 -5.1412
4.7342 -2.6658 -0.2517
3.4596 -1.8542 -3.7650
10.0326 -0.9103 -3.8499
1.8297 -0.1660 -0.7021
```

Computed properties:
energy relative to the elements, uncorrected = -0.534 eV per atom
N(E_F) = 1.11 states/eV/f.u.
space-group type = I422 (97)
calculated volume = 565 Å³/cell
total magnetization = 0.000 μB per formula unit

First-principles (GGA-PBEsol) data for a relaxed structure of Cr2HgRu, as listed in the Alexandria database.

```
Cr2HgRu
1.0
-1.0084 2.1404 -1.7211
2.6060 -1.4292 -3.3042
-3.9770 -2.9619 1.1334
Cr Hg Ru
2 1 1
Cartesian
-0.0862 -0.0707 -0.0374
-1.9045 -0.0782 -1.4683
-3.1250 -2.5627 -1.3561
-0.4419 -2.1456 -2.4093
```

Computed properties:
ΔE_f = 1.89 eV per formula unit
N(E_F) = 4.27 states/eV/f.u.
space-group type = Imm2 (44)
calculated volume = 56 Å³/cell
total magnetization = 0.533 μB per formula unit

First-principles (GGA-PBEsol) data for a relaxed structure of Hg2P2H4O9, as listed in the Alexandria database.

```
Hg2P2H4O9
1.0
-4.3320 5.2833 -0.7159
-6.8684 -2.7678 0.0215
-1.7110 2.1990 7.4142
H Hg O P
8 4 18 4
Cartesian
-2.7464 0.2039 -0.0484
-10.1649 4.5107 6.7683
-1.8138 1.0761 0.9089
-11.0975 3.6384 5.8109
-3.1271 3.4826 1.4779
-9.7842 1.2319 5.2419
-10.1902 1.8318 0.3685
-2.7211 2.8827 6.3514
-3.3023 1.5856 3.7710
-9.6090 3.1289 2.9488
-6.0674 3.5295 1.2650
-6.8439 1.1851 5.4548
-4.3084 0.4217 5.3858
-8.6029 4.2929 1.3340
-1.7969 0.3067 0.2646
-11.1144 4.4079 6.4552
-6.8411 -0.1867 3.7209
-6.0702 4.9012 2.9989
-6.1712 2.3071 7.1920
-6.7402 2.4074 -0.4722
-6.5246 -0.1609 1.2186
-6.3868 4.8755 5.5012
-1.9482 2.3342 2.0743
-10.9632 2.3803 4.6455
-4.6966 1.5113 1.8575
-8.2148 3.2033 4.8624
-5.2385 2.8903 4.3581
-7.6728 1.8242 2.3617
-3.6824 4.2901 1.2593
-9.2289 0.4244 5.4605
-4.9268 0.1345 1.2370
-7.9845 4.5800 5.4828
-7.5025 0.3251 2.4181
-5.4088 4.3894 4.3017
```

Computed properties:
N(E_F) = 0.00 states/eV/f.u.
energy = -0.417 Ry/atom
space-group type = P-1 (2)
calculated volume = 372 Å³/cell
total magnetization = 0.000 μB per formula unit